Crystalline Nd2SnBr3 at its relaxed geometry. Source: Alexandria, functional PBE-GGA.

**E_tot**: -4.456 eV/atom
**SG**: C2/m, No. 12
**Volume**: 440.97 Å³ per cell
**DOS at the Fermi energy**: 0.141 states/eV per atom
**ΔE_f (raw)**: -131.5 kJ per mole of atoms
**ρ**: 4.87 Mg/m³

Cell: 4.0999 10.1219 11.0740 Å, 83.63 79.33 78.32°
Positions (direct):
Nd  0.8720  0.4193  0.8368
Nd  0.1280  0.5807  0.1632
Nd  0.6130  0.2044  0.5695
Nd  0.3870  0.7956  0.4305
Sn  0.4278  0.5165  0.6278
Sn  0.5722  0.4835  0.3722
Br  0.0487  0.1342  0.7685
Br  0.9513  0.8658  0.2315
Br  0.6774  0.6753  0.9699
Br  0.3226  0.3247  0.0301
Br  0.7570  0.8790  0.6070
Br  0.2430  0.1210  0.3930

***

Crystalline Sr2Cd8In at its relaxed geometry. Source: Alexandria, functional PBE-GGA.

**E_tot**: -1.396 eV/atom
**SG**: C2/m, No. 12
**Volume**: 297.60 Å³ per cell
**Formation energy**: -0.18 eV per atom
**DOS at the Fermi energy**: 0.422 states/eV per atom
**ρ**: 6.64 Mg/m³

Cell: 6.1582 5.8528 10.6080 Å, 114.12 114.61 62.76°
Positions (direct):
Sr  0.6591  0.6591  0.3182
Sr  0.3409  0.3409  0.6818
Cd  0.2619  0.2821  0.2486
Cd  0.0132  0.0335  0.7514
Cd  0.8041  0.3586  0.0000
Cd  0.7481  0.2481  0.4961
Cd  0.2519  0.7519  0.5039
Cd  0.1959  0.6414  0.0000
Cd  0.9868  0.9665  0.2486
Cd  0.7381  0.7179  0.7514
In  0.5000  0.0000  0.0000

***

Crystalline TbMgNi2H8 at its relaxed geometry. Source: Alexandria, functional PBE-GGA.

**E_tot**: -3.851 eV/atom
**SG**: R-3, No. 148
**Volume**: 100.53 Å³ per cell
**DOS at the Fermi energy**: 0.271 states/eV per atom
**ρ**: 5.10 Mg/m³

Cell: 4.6076 4.6076 6.0804 Å, 67.74 67.74 60.00°
Positions (direct):
Tb  0.5000  0.5000  0.5000
Mg  0.0000  0.0000  0.0000
Ni  0.2723  0.2723  0.1832
Ni  0.7277  0.7277  0.8168
H  0.1797  0.1797  0.4609
H  0.5910  0.3111  0.1855
H  0.8203  0.8203  0.5391
H  0.9124  0.5910  0.1855
H  0.0876  0.4090  0.8145
H  0.3111  0.9124  0.1855
H  0.6889  0.0876  0.8145
H  0.4090  0.6889  0.8145

***

Crystalline LaInSi2 at its relaxed geometry. Source: Alexandria, functional PBE-GGA.

**E_tot**: -4.485 eV/atom
**SG**: F-43m, No. 216
**Volume**: 94.15 Å³ per cell
**DOS at the Fermi energy**: 1.079 states/eV per atom
**ΔE_f (raw)**: 13.8 kJ per mole of atoms
**ρ**: 5.47 Mg/m³

Cell: 5.1064 5.1064 5.1064 Å, 60.00 60.00 60.00°
Positions (direct):
In  0.5000  0.5000  0.5000
La  0.7500  0.7500  0.7500
Si  0.0000  0.0000  0.0000
Si  0.2500  0.2500  0.2500